Record 1
## Tb3MgRh (PBE-GGA)

Data for crystalline Tb3MgRh at its relaxed geometry.

abc: 5.388 5.388 5.388
angles: 90.00 90.00 90.00
Positions (direct):
1 Tb 0.000 0.500 0.000
2 Tb 0.000 0.000 0.500
3 Tb 0.500 0.000 0.000
4 Mg 0.500 0.500 0.500
5 Rh 0.000 0.000 0.000

Calculated values
For the formation energy from the elements, the calculation gives -0.237 eV per atom. The calculation puts the energy above the most stable polymorph in this dataset at 140 meV per atom.

Record 2
## HoSiRh2 (PBE-GGA)

Data for crystalline HoSiRh2 at its relaxed geometry.

abc: 3.920 3.920 9.273
angles: 90.00 90.00 90.00
Positions (direct):
1 Ho 0.500 0.000 0.207
2 Ho 0.000 0.500 0.793
3 Rh 0.000 0.500 0.102
4 Rh 0.500 0.000 0.898
5 Rh 0.000 0.000 0.500
6 Rh 0.500 0.500 0.500
7 Si 0.500 0.000 0.647
8 Si 0.000 0.500 0.353

Calculated values
Its uncorrected formation energy is -0.91 eV/atom.